## 1
## CaPr2Th (PBE)

Data for a relaxed CaPr2Th crystal.

Unit cell a=3.682 b=3.682 c=24.789 alpha=90.00 beta=90.00 gamma=120.00
Positions (direct):
Th (0.000, 0.000, 0.500)
Th (0.000, 0.000, 0.000)
Ca (0.667, 0.333, 0.250)
Ca (0.333, 0.667, 0.750)
Pr (0.333, 0.667, 0.116)
Pr (0.667, 0.333, 0.616)
Pr (0.333, 0.667, 0.384)
Pr (0.667, 0.333, 0.884)

Calculated values
* V: 291 Å³/cell



## 2
## CaPr2Th (PBE)

Data for a relaxed CaPr2Th crystal.

Unit cell a=3.636 b=3.636 c=12.971 alpha=81.94 beta=81.94 gamma=60.00
Positions (direct):
Pr (0.908, 0.908, 0.276)
Pr (0.092, 0.092, 0.724)
Th (0.500, 0.500, 0.500)
Ca (0.000, 0.000, 0.000)

Calculated values
* V: 147 Å³/cell



Tell me which of them is the least stable. Sure, it is 2.



## 1
## CaPr2Th (PBE)

Data for a relaxed CaPr2Th crystal.

Unit cell a=3.689 b=3.689 c=12.467 alpha=81.49 beta=81.49 gamma=60.00
Positions (direct):
Ca (0.501, 0.501, 0.498)
Pr (0.256, 0.256, 0.233)
Pr (0.077, 0.077, 0.768)
Th (0.666, 0.666, 0.001)

Calculated values
* V: 145 Å³/cell



## 2
## CaPr2Th (PBE)

Data for a relaxed CaPr2Th crystal.

Unit cell a=5.100 b=5.259 c=5.259 alpha=90.00 beta=90.00 gamma=90.00
Positions (direct):
Ca (0.500, 0.500, 0.500)
Pr (0.000, 0.500, 0.000)
Pr (0.000, 0.000, 0.500)
Th (0.500, 0.000, 0.000)

Calculated values
* V: 141 Å³/cell



Tell me which of them is the least stable. Sure, it is 2.



## 1
## CaPr2Th (PBE)

Data for a relaxed CaPr2Th crystal.

Unit cell a=5.862 b=5.862 c=5.862 alpha=60.00 beta=60.00 gamma=60.00
Positions (direct):
Pr (0.250, 0.250, 0.250)
Pr (0.750, 0.750, 0.750)
Th (0.000, 0.000, 0.000)
Ca (0.500, 0.500, 0.500)

Calculated values
* V: 142 Å³/cell



## 2
## CaPr2Th (PBE)

Data for a relaxed CaPr2Th crystal.

Unit cell a=3.698 b=3.698 c=10.659 alpha=90.00 beta=90.00 gamma=90.00
Positions (direct):
Pr (0.000, 0.000, 0.773)
Pr (0.000, 0.000, 0.227)
Ca (0.500, 0.500, 0.500)
Th (0.500, 0.500, 0.000)

Calculated values
* V: 146 Å³/cell



Tell me which of them is the least stable. Sure, it is 1.



## 1
## CaPrTh2 (PBE)

Data for a relaxed CaPrTh2 crystal.

Unit cell a=3.529 b=3.529 c=13.215 alpha=82.33 beta=82.33 gamma=60.00
Positions (direct):
Th (0.089, 0.089, 0.734)
Th (0.911, 0.911, 0.266)
Ca (0.000, 0.000, 0.000)
Pr (0.500, 0.500, 0.500)

Calculated values
* V: 141 Å³/cell



## 2
## CaPrTh2 (PBE)

Data for a relaxed CaPrTh2 crystal.

Unit cell a=5.382 b=5.038 c=5.038 alpha=90.00 beta=90.00 gamma=90.00
Positions (direct):
Pr (0.500, 0.000, 0.000)
Ca (0.500, 0.500, 0.500)
Th (0.000, 0.000, 0.500)
Th (0.000, 0.500, 0.000)

Calculated values
* V: 137 Å³/cell



Tell me which of them is the least stable. Sure, it is 1.